# 1
A relaxed structure of AcCeAsBr, computed with GGA-PBE.

Computed properties:
Total magnetization, μB/atom: 0.49
Crystal system: cubic
Density of states at the Fermi level, states/eV/cell: 7.246
SG: No. 216
E, eV/cell: -20.947

```
AcCeAsBr
1.0
-3.8241 3.7538 0.1631
-5.1658 -1.4292 -0.1155
-3.0319 0.5490 4.3872
As Ac Br Ce
1 1 1 1
direct
0.2500 0.2500 0.2500
0.0000 0.0000 0.0000
0.7500 0.7500 0.7500
0.5000 0.5000 0.5000
```


# 2
A relaxed structure of BaDyInSe4, computed with GGA-PBE.

Computed properties:
Total magnetization, μB/atom: 0.00
Crystal system: monoclinic
SG: No. 11
E, eV/cell: -65.715

```
BaDyInSe4
1.0
-1.7676 1.9323 6.5759
-6.7571 1.4682 -2.2477
-1.6493 -8.6257 -0.6758
Ba Dy In Se
2 2 2 8
direct
0.7684 0.7500 0.9488
0.2316 0.2500 0.0512
0.7847 0.7500 0.4456
0.2153 0.2500 0.5544
0.2428 0.7500 0.3324
0.7572 0.2500 0.6676
0.0194 0.5143 0.7164
0.9806 0.0143 0.2836
0.9806 0.4857 0.2836
0.0194 0.9857 0.7164
0.4540 0.7500 0.1419
0.5460 0.2500 0.8581
0.4897 0.7500 0.6064
0.5103 0.2500 0.3936
```


# 3
A relaxed structure of B2C, computed with GGA-PBE.

Computed properties:
Total magnetization, μB/atom: 0.00
Crystal system: triclinic
Density of states at the Fermi level, states/eV/cell: 0.267
E_form, eV/atom: 0.48
SG: No. 1
Polymorph energy (0 for the lowest one), meV/atom: 296

```
B2C
1.0
-2.2839 1.6780 -2.7166
-3.1646 -2.6265 3.0166
0.8136 4.3349 2.6115
B C
8 4
direct
0.2075 0.9319 0.9892
0.3260 0.1020 0.7529
0.2968 0.4537 0.8023
0.5931 0.2153 0.5265
0.8146 0.7249 0.4682
0.9891 0.0894 0.5064
0.9975 0.3232 0.3155
0.4660 0.3172 0.0777
0.6762 0.5573 0.6848
0.2683 0.1481 0.2687
0.8619 0.5255 0.1811
0.0030 0.6116 0.9266
```


# 4
A relaxed structure of U2AgF11, computed with GGA-PBE.

Computed properties:
Total magnetization, μB/atom: 0.14
Crystal system: orthorhombic
SG: No. 72
E, eV/cell: -181.146

```
U2AgF11
1.0
1.8466 -7.0723 4.9106
-4.0599 -7.6829 -1.6431
6.0750 -5.8073 -2.7529
U Ag F
4 2 22
direct
0.6545 0.6777 0.3223
0.3455 0.3223 0.6777
0.8455 0.1777 0.8223
0.1545 0.8223 0.1777
0.7500 0.7500 0.7500
0.2500 0.2500 0.2500
0.6307 0.6978 0.5605
0.3693 0.3022 0.4395
0.1110 0.5605 0.6978
0.8693 0.9395 0.8022
0.8890 0.4395 0.3022
0.1307 0.0605 0.1978
0.3890 0.8022 0.9395
0.6110 0.1978 0.0605
0.5000 0.5000 0.5000
0.0000 0.0000 0.0000
0.8578 0.7857 0.2143
0.1422 0.2143 0.7857
0.6422 0.2857 0.7143
0.3578 0.7143 0.2857
0.4524 0.9352 0.3343
0.5476 0.0648 0.6657
0.2781 0.3343 0.9352
0.0476 0.1657 0.5648
0.7219 0.6657 0.0648
0.9524 0.8343 0.4352
0.2219 0.5648 0.1657
0.7781 0.4352 0.8343
```


# 5
A relaxed structure of Li2VRe, computed with GGA-PBE.

Computed properties:
Total magnetization, μB/atom: 0.21
Crystal system: tetragonal
Density of states at the Fermi level, states/eV/cell: 4.478
E_form, eV/atom: 0.85
SG: No. 122
Polymorph energy (0 for the lowest one), meV/atom: 67

```
Li2VRe
1.0
6.8427 0.0000 0.0000
0.0000 6.8427 0.0000
3.4213 3.4213 2.3726
Re V Li
2 2 4
direct
0.0000 0.0000 0.0000
0.7500 0.2500 0.5000
0.5000 0.5000 0.0000
0.2500 0.7500 0.5000
0.6200 0.1250 0.2500
0.1300 0.6250 0.2500
0.3750 0.3800 0.7500
0.8750 0.8700 0.7500
```


# 6
A relaxed structure of SrLa2YPt, computed with GGA-PBE.

Computed properties:
Total magnetization, μB/atom: 0.00
Crystal system: tetragonal
Density of states at the Fermi level, states/eV/cell: 11.531
E_form, eV/atom: -0.39
SG: No. 123

```
SrLa2YPt
1.0
-4.6945 -0.4839 3.3149
-1.6590 -4.6018 -3.0211
2.9075 -3.4233 3.6178
Y Sr Pt La
1 1 1 2
direct
0.0000 0.5000 0.0000
0.5000 0.5000 0.5000
0.0000 0.0000 0.0000
0.0000 0.0000 0.5000
0.5000 0.0000 0.0000
```


Q: The highest total magnetization belongs to which entry?
A: AcCeAsBr


Repeat the third record exactly.
A relaxed structure of B2C, computed with GGA-PBE.

Computed properties:
Total magnetization, μB/atom: 0.00
Crystal system: triclinic
Density of states at the Fermi level, states/eV/cell: 0.267
E_form, eV/atom: 0.48
SG: No. 1
Polymorph energy (0 for the lowest one), meV/atom: 296

```
B2C
1.0
-2.2839 1.6780 -2.7166
-3.1646 -2.6265 3.0166
0.8136 4.3349 2.6115
B C
8 4
direct
0.2075 0.9319 0.9892
0.3260 0.1020 0.7529
0.2968 0.4537 0.8023
0.5931 0.2153 0.5265
0.8146 0.7249 0.4682
0.9891 0.0894 0.5064
0.9975 0.3232 0.3155
0.4660 0.3172 0.0777
0.6762 0.5573 0.6848
0.2683 0.1481 0.2687
0.8619 0.5255 0.1811
0.0030 0.6116 0.9266
```


Q: Which value of total magnetization does entry 3 give?
A: 0.00 μB/atom